<P>
This record from the Alexandria database describes crystalline Dy3Tl4 at its relaxed geometry. The functional is PBE.

Properties
The symmetry is I-43d, No. 220. The value obtained for the size of the total moment is 0.0 μB/cell.

Lattice parameters (Å, degrees): 8.028 8.028 8.028 109.47 109.47 109.47
Positions (direct):
Dy1 0.750 0.625 0.375
Dy2 0.125 0.375 0.250
Dy3 0.625 0.750 0.875
Dy4 0.250 0.875 0.125
Dy5 0.375 0.125 0.750
Dy6 0.875 0.250 0.625
Tl1 0.500 0.836 0.500
Tl2 0.000 0.000 0.836
Tl3 0.000 0.000 0.336
Tl4 0.664 0.164 0.164
Tl5 0.500 0.336 0.500
Tl6 0.836 0.500 0.000
Tl7 0.164 0.664 0.664
Tl8 0.336 0.500 0.000



<Q>
This record from the Alexandria database describes crystalline Dy3Tl4 at its relaxed geometry. The functional is PBE.

Properties
The symmetry is R-3, No. 148. The value obtained for the size of the total moment is 0.0 μB/cell.

Lattice parameters (Å, degrees): 6.513 8.510 8.510 113.73 104.78 104.78
Positions (direct):
Tl1 0.250 0.850 0.311
Tl2 0.939 0.689 0.538
Tl3 0.061 0.311 0.462
Tl4 0.500 0.000 0.000
Tl5 0.400 0.462 0.150
Tl6 0.750 0.150 0.689
Tl7 0.000 0.000 0.000
Tl8 0.600 0.538 0.850
Dy1 0.889 0.393 0.125
Dy2 0.235 0.125 0.732
Dy3 0.765 0.875 0.268
Dy4 0.503 0.268 0.393
Dy5 0.111 0.607 0.875
Dy6 0.497 0.732 0.607



Which of them is most stable? Easy: <Q>.



<P>
This record from the Alexandria database describes crystalline Dy2Tl3 at its relaxed geometry. The functional is PBE.

Properties
The symmetry is Pnma, No. 62. The value obtained for the size of the total moment is 0.0 μB/cell.

Lattice parameters (Å, degrees): 3.770 12.063 12.673 90.00 90.00 90.00
Positions (direct):
Tl1 0.250 0.955 0.328
Tl2 0.750 0.045 0.672
Tl3 0.250 0.245 0.236
Tl4 0.750 0.745 0.264
Tl5 0.750 0.346 0.419
Tl6 0.750 0.755 0.764
Tl7 0.250 0.545 0.828
Tl8 0.250 0.255 0.736
Tl9 0.750 0.455 0.172
Tl10 0.750 0.154 0.919
Tl11 0.250 0.654 0.581
Tl12 0.250 0.846 0.081
Dy1 0.750 0.853 0.509
Dy2 0.750 0.447 0.643
Dy3 0.250 0.947 0.857
Dy4 0.750 0.647 0.009
Dy5 0.750 0.053 0.143
Dy6 0.250 0.353 0.991
Dy7 0.250 0.553 0.357
Dy8 0.250 0.147 0.491



<Q>
This record from the Alexandria database describes crystalline Dy2Tl3 at its relaxed geometry. The functional is PBE.

Properties
The symmetry is P4/m, No. 83. The value obtained for the size of the total moment is 0.0 μB/cell.

Lattice parameters (Å, degrees): 4.548 7.760 7.760 90.00 90.00 90.00
Positions (direct):
Tl1 0.500 0.500 0.500
Tl2 0.000 0.395 0.820
Tl3 0.000 0.605 0.180
Tl4 0.000 0.000 0.000
Tl5 0.000 0.820 0.605
Tl6 0.000 0.180 0.395
Dy1 0.500 0.871 0.305
Dy2 0.500 0.695 0.871
Dy3 0.500 0.305 0.129
Dy4 0.500 0.129 0.695



Which of them is most stable? Easy: <Q>.